Run one
Al2MoAu: PBEsol geometry, meta-GGA SCAN.

Output
Density of states at the Fermi level ... 1.570 states/eV/f.u.

Cell lengths 2.8786, 2.8786, 8.9576 Å; angles 80.75, 80.75, 60.00 degrees
Element x y z (fractional)
1 Mo 0.2518 0.2518 0.2445
2 Al 0.7513 0.7513 0.7460
3 Al 0.9993 0.9993 0.0020
4 Au 0.4975 0.4975 0.5074


Run two
Al2MoAu: PBEsol geometry, meta-GGA SCAN.

Output
Density of states at the Fermi level ... 1.994 states/eV/f.u.

Cell lengths 4.3738, 4.3738, 4.3738 Å; angles 60.00, 60.00, 60.00 degrees
Element x y z (fractional)
1 Mo 0.5000 0.5000 0.5000
2 Au 0.0000 0.0000 0.0000
3 Al 0.2500 0.2500 0.2500
4 Al 0.7500 0.7500 0.7500


Run three
Al2MoAu: PBEsol geometry, meta-GGA SCAN.

Output
Density of states at the Fermi level ... 2.307 states/eV/f.u.

Cell lengths 2.8624, 2.8624, 8.9592 Å; angles 80.81, 80.81, 60.00 degrees
Element x y z (fractional)
1 Au 0.5000 0.5000 0.5000
2 Al 0.2511 0.2511 0.2467
3 Al 0.7489 0.7489 0.7533
4 Mo 0.0000 0.0000 0.0000


In kJ/mol of atoms, relative to the most stable structure: run one 27.4; run two 0.0; run three 14.6.